(1)
First-principles (PBE) data for crystalline PmPrDyIn at its relaxed geometry, as listed in the Alexandria database.

The space group is I-4m2 (No. 119) and the conventional cell measures 4.885, 4.885 and 10.128 Å, with angles of 90.00, 90.00 and 90.00 degrees. The distinct sites, in fractional coordinates, are Pm at (0.000, 0.000, 0.000), Pr at (0.000, 0.500, 0.250), Dy at (0.000, 0.000, 0.500) and In at (0.000, 0.500, 0.750).

The formation energy from the elements is -232 meV per atom.


(2)
First-principles (PBE) data for crystalline TbThGe2 at its relaxed geometry, as listed in the Alexandria database.

The space group is Pmc2_1 (No. 26) and the conventional cell measures 4.131, 5.923 and 8.036 Å, with angles of 90.00, 90.00 and 90.00 degrees. The distinct sites, in fractional coordinates, are Tb at (0.000, 0.124, 0.000), Th at (0.500, 0.374, 0.363), Ge at (0.000, 0.396, 0.640) and Ge at (0.500, 0.106, 0.724).

The formation energy from the elements is -782 meV per atom.


(3)
First-principles (PBE) data for crystalline Cs2ZnAu3 at its relaxed geometry, as listed in the Alexandria database.

The space group is C2/c (No. 15) and the conventional cell measures 11.893, 8.412 and 8.853 Å, with angles of 90.00, 101.69 and 90.00 degrees. The distinct sites, in fractional coordinates, are Cs at (0.173, 0.119, 0.155), Zn at (0.000, 0.483, 0.250), Au at (0.000, 0.207, 0.750) and Au at (0.081, 0.357, 0.513).

The formation energy from the elements is -203 meV per atom.


(4)
First-principles (PBE) data for crystalline ZnSnSb2 at its relaxed geometry, as listed in the Alexandria database.

The space group is Fm-3m (No. 225) and the conventional cell measures 7.393, 7.393 and 7.393 Å, with angles of 90.00, 90.00 and 90.00 degrees. The distinct sites, in fractional coordinates, are Zn at (0.000, 0.000, 0.000), Sn at (0.000, 0.000, 0.500) and Sb at (0.250, 0.250, 0.250).

The uncorrected formation energy comes out at 203 meV per atom.


(5)
First-principles (PBE) data for crystalline MoPbSe2N at its relaxed geometry, as listed in the Alexandria database.

The space group is P4/mmm (No. 123) and the conventional cell measures 5.209, 5.209 and 3.847 Å, with angles of 90.00, 90.00 and 90.00 degrees. The distinct sites, in fractional coordinates, are Mo at (0.000, 0.000, 0.000), Pb at (0.500, 0.500, 0.500), Se at (0.000, 0.500, 0.000) and N at (0.000, 0.000, 0.500).

The uncorrected formation energy comes out at -68 meV per atom.


(6)
First-principles (PBE) data for crystalline NbSiO2 at its relaxed geometry, as listed in the Alexandria database.

The space group is I-42d (No. 122) and the conventional cell measures 5.087, 5.087 and 10.447 Å, with angles of 90.00, 90.00 and 90.00 degrees. The distinct sites, in fractional coordinates, are Nb at (0.000, 0.000, 0.000), Si at (0.000, 0.000, 0.500) and O at (0.132, 0.250, 0.125).

The uncorrected formation energy comes out at -879 meV per atom.


We obtain DOS at the Fermi energy values of 11.90; 4.48; 4.53; 10.16; 2.26; 16.12 states/eV per cell for the records listed above, in that order.
We obtain electronic total energy values of -4.450; -6.103; -2.338; -3.177; -6.035; -7.231 eV/atom for the records listed above, in that order.